Here is crystalline K2CoTc at its relaxed geometry from the Alexandria database. Energies are from PBE.

Computed properties:
**Crystal system**: cubic
**Space-group type**: Fm-3m
**Electronic total energy**: -3.06 eV/atom

Cell lengths 7.9212, 7.9212, 7.9212 Å; angles 90.00, 90.00, 90.00 degrees
Closest atoms and distances in Å follow each position.
Sites, in units of the cell vectors:
K 0.2500 0.2500 0.2500  4 Co 3.43, 4 Tc 3.43
K 0.2500 0.2500 0.7500  4 Co 3.43, 4 Tc 3.43
K 0.2500 0.7500 0.2500  4 Co 3.43, 4 Tc 3.43
K 0.2500 0.7500 0.7500  4 Co 3.43, 4 Tc 3.43
K 0.7500 0.2500 0.2500  4 Co 3.43, 4 Tc 3.43
K 0.7500 0.2500 0.7500  4 Co 3.43, 4 Tc 3.43
K 0.7500 0.7500 0.2500  4 Co 3.43, 4 Tc 3.43
K 0.7500 0.7500 0.7500  4 Co 3.43, 4 Tc 3.43
Co 0.0000 0.0000 0.0000  8 K 3.43
Co 0.0000 0.5000 0.5000  8 K 3.43
Co 0.5000 0.0000 0.5000  8 K 3.43
Co 0.5000 0.5000 0.0000  8 K 3.43
Tc 0.0000 0.0000 0.5000  8 K 3.43
Tc 0.0000 0.5000 0.0000  8 K 3.43
Tc 0.5000 0.0000 0.0000  8 K 3.43
Tc 0.5000 0.5000 0.5000  8 K 3.43



Here is crystalline Be3Mo at its relaxed geometry from the Alexandria database. Energies are from PBE.

Computed properties:
**Crystal system**: tetragonal
**Space-group type**: I4/mmm
**Electronic total energy**: -5.41 eV/atom

Cell lengths 3.4543, 3.4543, 6.8929 Å; angles 90.00, 90.00, 90.00 degrees
Closest atoms and distances in Å follow each position.
Sites, in units of the cell vectors:
Be 0.0000 0.0000 0.0000  8 Be 2.44, 4 Mo 2.44
Be 0.0000 0.5000 0.2500  4 Mo 2.44, 8 Be 2.44
Be 0.0000 0.5000 0.7500  4 Mo 2.44, 8 Be 2.44
Be 0.5000 0.0000 0.2500  4 Mo 2.44, 8 Be 2.44
Be 0.5000 0.0000 0.7500  4 Mo 2.44, 8 Be 2.44
Be 0.5000 0.5000 0.5000  8 Be 2.44, 4 Mo 2.44
Mo 0.0000 0.0000 0.5000  12 Be 2.44
Mo 0.5000 0.5000 0.0000  12 Be 2.44



Here is crystalline Ca2YUO6 at its relaxed geometry from the Alexandria database. Energies are from PBE.

Computed properties:
**Uncorrected formation energy**: -3279 meV per atom
**Crystal system**: trigonal
**Space-group type**: R3

Cell lengths 6.0714, 6.0714, 6.0714 Å; angles 57.76, 57.76, 57.76 degrees
Closest atoms and distances in Å follow each position.
Sites, in units of the cell vectors:
Ca 0.0000 0.0000 0.0000  6 O 2.34-2.49
Ca 0.4961 0.4961 0.4961  6 O 2.35-2.52
Y 0.2183 0.2183 0.2183  6 O 2.25-2.34
U 0.7135 0.7135 0.7135  6 O 2.16-2.18
O 0.0737 0.4368 0.8391  1 U 2.16, 1 Y 2.34, 1 Ca 2.35
O 0.3515 0.9202 0.5914  1 U 2.18, 1 Y 2.25, 1 Ca 2.34
O 0.4368 0.8391 0.0737  1 U 2.16, 1 Y 2.34, 1 Ca 2.35
O 0.5914 0.3515 0.9202  1 U 2.18, 1 Y 2.25, 1 Ca 2.34
O 0.8391 0.0737 0.4368  1 U 2.16, 1 Y 2.34, 1 Ca 2.35
O 0.9202 0.5914 0.3515  1 U 2.18, 1 Y 2.25, 1 Ca 2.34



Here is crystalline TiSiAs3 at its relaxed geometry from the Alexandria database. Energies are from PBE.

Computed properties:
**Uncorrected formation energy**: 449 meV per atom
**Crystal system**: cubic
**Space-group type**: Pm-3m

Cell lengths 4.8671, 4.8671, 4.8671 Å; angles 90.00, 90.00, 90.00 degrees
Closest atoms and distances in Å follow each position.
Sites, in units of the cell vectors:
Ti 0.0000 0.0000 0.0000  6 As 2.43
Si 0.5000 0.5000 0.5000  12 As 3.44
As 0.0000 0.0000 0.5000  2 Ti 2.43
As 0.0000 0.5000 0.0000  2 Ti 2.43
As 0.5000 0.0000 0.0000  2 Ti 2.43



Here is crystalline V2GeRh3 at its relaxed geometry from the Alexandria database. Energies are from PBE.

Computed properties:
**Crystal system**: orthorhombic
**Space-group type**: Cmmm
**Electronic total energy**: -7.89 eV/atom

Cell lengths 6.2583, 6.2583, 7.1678 Å; angles 90.00, 90.00, 143.45 degrees
Closest atoms and distances in Å follow each position.
Sites, in units of the cell vectors:
V 0.0000 0.0000 0.0000  8 Rh 2.62-2.71, 4 V 2.81
V 0.0000 0.0000 0.5000  8 Rh 2.63-2.70, 4 Ge 2.69
V 0.3312 0.6688 0.0000  8 Rh 2.65-2.70, 4 V 2.75-2.81
V 0.6688 0.3312 0.0000  8 Rh 2.65-2.70, 4 V 2.75-2.81
Ge 0.3450 0.6550 0.5000  8 Rh 2.61-2.74, 2 V 2.69
Ge 0.6550 0.3450 0.5000  8 Rh 2.61-2.74, 2 V 2.69
Rh 0.1666 0.8334 0.2586  3 Ge 2.62-2.74, 5 V 2.63-2.71, 4 Rh 2.79
Rh 0.1666 0.8334 0.7414  3 Ge 2.62-2.74, 5 V 2.63-2.71, 4 Rh 2.79
Rh 0.5000 0.5000 0.2413  2 Ge 2.61, 6 V 2.62-2.70, 4 Rh 2.79
Rh 0.5000 0.5000 0.7587  2 Ge 2.61, 6 V 2.62-2.70, 4 Rh 2.79
Rh 0.8334 0.1666 0.2586  3 Ge 2.62-2.74, 5 V 2.63-2.71, 4 Rh 2.79
Rh 0.8334 0.1666 0.7414  3 Ge 2.62-2.74, 5 V 2.63-2.71, 4 Rh 2.79



Here is crystalline Zn4CrGa at its relaxed geometry from the Alexandria database. Energies are from PBE.

Computed properties:
**Crystal system**: cubic
**Space-group type**: F-43m
**Electronic total energy**: -2.80 eV/atom

Cell lengths 5.0938, 5.0938, 5.0938 Å; angles 60.00, 60.00, 60.00 degrees
Closest atoms and distances in Å follow each position.
Sites, in units of the cell vectors:
Zn 0.3756 0.3756 0.3756  6 Zn 2.53-2.56
Zn 0.3756 0.3756 0.8731  6 Zn 2.53-2.56
Zn 0.3756 0.8731 0.3756  6 Zn 2.53-2.56
Zn 0.8731 0.3756 0.3756  6 Zn 2.53-2.56
Cr 0.7500 0.7500 0.7500  12 Zn 2.99, 4 Ga 3.12
Ga 0.0000 0.0000 0.0000  12 Zn 2.99, 4 Cr 3.12



Here is crystalline Ti3ZnRh2 at its relaxed geometry from the Alexandria database. Energies are from PBE.

Computed properties:
**Crystal system**: trigonal
**Space-group type**: P-3m1
**Electronic total energy**: -7.15 eV/atom

Cell lengths 4.3837, 4.3837, 5.5315 Å; angles 90.00, 90.00, 120.00 degrees
Closest atoms and distances in Å follow each position.
Sites, in units of the cell vectors:
Ti 0.0000 0.0000 0.0000  2 Zn 2.77, 6 Rh 2.79, 6 Ti 3.07
Ti 0.3333 0.6667 0.6864  4 Rh 2.59-2.62, 3 Zn 2.73
Ti 0.6667 0.3333 0.3136  4 Rh 2.59-2.62, 3 Zn 2.73
Zn 0.0000 0.0000 0.5000  8 Ti 2.73-2.77, 6 Rh 2.99
Rh 0.3333 0.6667 0.2131  7 Ti 2.59-2.79
Rh 0.6667 0.3333 0.7869  7 Ti 2.59-2.79



Here is crystalline KPrIn at its relaxed geometry from the Alexandria database. Energies are from PBE.

Computed properties:
**Crystal system**: monoclinic
**Space-group type**: C2/m
**Electronic total energy**: -3.01 eV/atom

Cell lengths 5.7434, 5.7429, 14.5088 Å; angles 90.00, 90.36, 90.00 degrees
Closest atoms and distances in Å follow each position.
Sites, in units of the cell vectors:
K 0.2439 0.0000 0.1395  4 In 3.75-3.76, 4 K 4.06, 1 Pr 4.07
K 0.2561 0.5000 0.8605  4 In 3.75-3.76, 4 K 4.06, 1 Pr 4.07
K 0.7439 0.5000 0.1395  4 In 3.75-3.76, 4 K 4.06, 1 Pr 4.07
K 0.7561 0.0000 0.8605  4 In 3.75-3.76, 4 K 4.06, 1 Pr 4.07
Pr 0.2489 0.0000 0.4203  4 In 3.32, 4 Pr 3.69
Pr 0.2511 0.5000 0.5797  4 In 3.32, 4 Pr 3.69
Pr 0.7489 0.5000 0.4203  4 In 3.32, 4 Pr 3.69
Pr 0.7511 0.0000 0.5797  4 In 3.32, 4 Pr 3.69
In 0.2471 0.5000 0.3060  4 Pr 3.32
In 0.2529 0.0000 0.6940  4 Pr 3.32
In 0.7471 0.0000 0.3060  4 Pr 3.32
In 0.7529 0.5000 0.6940  4 Pr 3.32